Entry 1:
A plane-wave DFT calculation with PBE-GGA was carried out for crystalline LuHf2Re at its relaxed geometry.

```
data_LuHf2Re
_chemical_formula_sum 'Lu4 Hf8 Re4'
_cell_length_a 6.8767
_cell_length_b 6.8767
_cell_length_c 6.8767
_cell_angle_alpha 90.00
_cell_angle_beta 90.00
_cell_angle_gamma 90.00
_space_group_name_H-M_alt 'F -4 3 m'
_space_group_IT_number 216
_space_group_name_Hall 'F -4 2 3'
loop_
_atom_site_label
_atom_site_type_symbol
_atom_site_fract_x
_atom_site_fract_y
_atom_site_fract_z
Lu1 Lu 0.0000 0.0000 0.0000
Hf1 Hf 0.0000 0.0000 0.5000
Hf2 Hf 0.2500 0.2500 0.2500
Re1 Re 0.2500 0.2500 0.7500
```



Entry 2:
# GdHgMo (PBE-GGA, optimized geometry)
data_GdHgMo
_chemical_formula_sum 'Gd4 Hg4 Mo4'
_cell_length_a 6.8868
_cell_length_b 6.8868
_cell_length_c 6.8868
_cell_angle_alpha 90.00
_cell_angle_beta 90.00
_cell_angle_gamma 90.00
_space_group_name_H-M_alt 'F -4 3 m'
_space_group_IT_number 216
_space_group_name_Hall 'F -4 2 3'
loop_
_atom_site_label
_atom_site_type_symbol
_atom_site_fract_x
_atom_site_fract_y
_atom_site_fract_z
Gd1 Gd 0.0000 0.0000 0.0000
Hg1 Hg 0.2500 0.2500 0.7500
Mo1 Mo 0.2500 0.2500 0.2500
# E above lowest polymorph in eV per formula unit: 0.88



Entry 3:
A plane-wave DFT calculation with PBE-GGA was carried out for crystalline LiCuTePdSe2 at its relaxed geometry.

```
data_LiCuTePdSe2
_chemical_formula_sum 'Li4 Cu4 Te4 Pd4 Se8'
_cell_length_a 3.6606
_cell_length_b 12.9495
_cell_length_c 10.0057
_cell_angle_alpha 90.00
_cell_angle_beta 90.00
_cell_angle_gamma 90.00
_space_group_name_H-M_alt 'C m c m'
_space_group_IT_number 63
_space_group_name_Hall '-C 2c 2'
loop_
_atom_site_label
_atom_site_type_symbol
_atom_site_fract_x
_atom_site_fract_y
_atom_site_fract_z
Li1 Li 0.0000 0.2116 0.2500
Cu1 Cu 0.0000 0.4547 0.7500
Te1 Te 0.0000 0.0973 0.7500
Pd1 Pd 0.0000 0.0000 0.0000
Se1 Se 0.0000 0.3605 0.5433
```



Entry 4:
# RbCo (PBE-GGA, optimized geometry)
data_RbCo
_chemical_formula_sum 'Rb2 Co2'
_cell_length_a 5.4203
_cell_length_b 4.5053
_cell_length_c 4.6241
_cell_angle_alpha 90.00
_cell_angle_beta 90.00
_cell_angle_gamma 90.00
_space_group_name_H-M_alt 'A m m 2'
_space_group_IT_number 38
_space_group_name_Hall 'A 2 -2'
loop_
_atom_site_label
_atom_site_type_symbol
_atom_site_fract_x
_atom_site_fract_y
_atom_site_fract_z
Rb1 Rb 0.0000 0.0000 0.0000
Co1 Co 0.5000 0.0000 0.4975
# E above lowest polymorph in eV per formula unit: 0.00



Entry 5:
A plane-wave DFT calculation with PBE-GGA was carried out for crystalline TbSi2OsAu at its relaxed geometry.

```
data_TbSi2OsAu
_chemical_formula_sum 'Tb2 Si4 Os2 Au2'
_cell_length_a 4.0947
_cell_length_b 4.0947
_cell_length_c 10.3327
_cell_angle_alpha 90.00
_cell_angle_beta 90.00
_cell_angle_gamma 90.00
_space_group_name_H-M_alt 'I -4 m 2'
_space_group_IT_number 119
_space_group_name_Hall 'I -4 -2'
loop_
_atom_site_label
_atom_site_type_symbol
_atom_site_fract_x
_atom_site_fract_y
_atom_site_fract_z
Tb1 Tb 0.0000 0.0000 0.0000
Si1 Si 0.0000 0.0000 0.3865
Os1 Os 0.0000 0.5000 0.2500
Au1 Au 0.0000 0.5000 0.7500
```



Entry 6:
# NaBeBiPd (PBE-GGA, optimized geometry)
data_NaBeBiPd
_chemical_formula_sum 'Na4 Be4 Bi4 Pd4'
_cell_length_a 6.6442
_cell_length_b 6.6442
_cell_length_c 6.6442
_cell_angle_alpha 90.00
_cell_angle_beta 90.00
_cell_angle_gamma 90.00
_space_group_name_H-M_alt 'F -4 3 m'
_space_group_IT_number 216
_space_group_name_Hall 'F -4 2 3'
loop_
_atom_site_label
_atom_site_type_symbol
_atom_site_fract_x
_atom_site_fract_y
_atom_site_fract_z
Na1 Na 0.0000 0.0000 0.0000
Be1 Be 0.2500 0.2500 0.2500
Bi1 Bi 0.2500 0.2500 0.7500
Pd1 Pd 0.0000 0.0000 0.5000
# E above lowest polymorph in eV per formula unit: 0.00



Entry 7:
A plane-wave DFT calculation with PBE-GGA was carried out for crystalline LiInAg2 at its relaxed geometry.

```
data_LiInAg2
_chemical_formula_sum 'Li1 In1 Ag2'
_cell_length_a 4.2654
_cell_length_b 4.2654
_cell_length_c 4.0320
_cell_angle_alpha 90.00
_cell_angle_beta 90.00
_cell_angle_gamma 90.00
_space_group_name_H-M_alt 'P 4/m m m'
_space_group_IT_number 123
_space_group_name_Hall '-P 4 2'
loop_
_atom_site_label
_atom_site_type_symbol
_atom_site_fract_x
_atom_site_fract_y
_atom_site_fract_z
Li1 Li 0.0000 0.0000 0.0000
In1 In 0.5000 0.5000 0.0000
Ag1 Ag 0.0000 0.5000 0.5000
```



Entry 8:
# MgNbTc (PBE-GGA, optimized geometry)
data_MgNbTc
_chemical_formula_sum 'Mg4 Nb4 Tc4'
_cell_length_a 6.1897
_cell_length_b 6.1897
_cell_length_c 6.1897
_cell_angle_alpha 90.00
_cell_angle_beta 90.00
_cell_angle_gamma 90.00
_space_group_name_H-M_alt 'F -4 3 m'
_space_group_IT_number 216
_space_group_name_Hall 'F -4 2 3'
loop_
_atom_site_label
_atom_site_type_symbol
_atom_site_fract_x
_atom_site_fract_y
_atom_site_fract_z
Mg1 Mg 0.0000 0.0000 0.0000
Nb1 Nb 0.0000 0.0000 0.5000
Tc1 Tc 0.2500 0.2500 0.2500
# E above lowest polymorph in eV per formula unit: 0.00



Entry 9:
A plane-wave DFT calculation with PBE-GGA was carried out for crystalline Zr3AuS5 at its relaxed geometry.

```
data_Zr3AuS5
_chemical_formula_sum 'Zr3 Au1 S5'
_cell_length_a 6.2540
_cell_length_b 6.2540
_cell_length_c 6.5814
_cell_angle_alpha 90.00
_cell_angle_beta 90.00
_cell_angle_gamma 120.00
_space_group_name_H-M_alt 'P 6/m m m'
_space_group_IT_number 191
_space_group_name_Hall '-P 6 2'
loop_
_atom_site_label
_atom_site_type_symbol
_atom_site_fract_x
_atom_site_fract_y
_atom_site_fract_z
Zr1 Zr 0.0000 0.5000 0.0000
Au1 Au 0.0000 0.0000 0.5000
S1 S 0.0000 0.0000 0.0000
S2 S 0.3333 0.6667 0.2701
```



Entry 10:
A plane-wave DFT calculation with PBE-GGA was carried out for crystalline AcHfRe at its relaxed geometry.

```
data_AcHfRe
_chemical_formula_sum 'Ac4 Hf4 Re4'
_cell_length_a 6.8466
_cell_length_b 6.8466
_cell_length_c 6.8466
_cell_angle_alpha 90.00
_cell_angle_beta 90.00
_cell_angle_gamma 90.00
_space_group_name_H-M_alt 'F -4 3 m'
_space_group_IT_number 216
_space_group_name_Hall 'F -4 2 3'
loop_
_atom_site_label
_atom_site_type_symbol
_atom_site_fract_x
_atom_site_fract_y
_atom_site_fract_z
Ac1 Ac 0.0000 0.0000 0.0000
Hf1 Hf 0.0000 0.0000 0.5000
Re1 Re 0.2500 0.2500 0.2500
```



Entry 11:
# LuFeBMo (PBE-GGA, optimized geometry)
data_LuFeBMo
_chemical_formula_sum 'Lu4 Fe4 B4 Mo4'
_cell_length_a 6.0391
_cell_length_b 6.0391
_cell_length_c 6.0391
_cell_angle_alpha 90.00
_cell_angle_beta 90.00
_cell_angle_gamma 90.00
_space_group_name_H-M_alt 'F -4 3 m'
_space_group_IT_number 216
_space_group_name_Hall 'F -4 2 3'
loop_
_atom_site_label
_atom_site_type_symbol
_atom_site_fract_x
_atom_site_fract_y
_atom_site_fract_z
Lu1 Lu 0.0000 0.0000 0.0000
Fe1 Fe 0.0000 0.0000 0.5000
B1 B 0.2500 0.2500 0.2500
Mo1 Mo 0.2500 0.2500 0.7500
# E above lowest polymorph in eV per formula unit: 0.00



Entry 12:
# NdFeRe (PBE-GGA, optimized geometry)
data_NdFeRe
_chemical_formula_sum 'Nd4 Fe4 Re4'
_cell_length_a 6.3372
_cell_length_b 6.3372
_cell_length_c 6.3372
_cell_angle_alpha 90.00
_cell_angle_beta 90.00
_cell_angle_gamma 90.00
_space_group_name_H-M_alt 'F -4 3 m'
_space_group_IT_number 216
_space_group_name_Hall 'F -4 2 3'
loop_
_atom_site_label
_atom_site_type_symbol
_atom_site_fract_x
_atom_site_fract_y
_atom_site_fract_z
Nd1 Nd 0.0000 0.0000 0.0000
Fe1 Fe 0.2500 0.2500 0.7500
Re1 Re 0.2500 0.2500 0.2500
# E above lowest polymorph in eV per formula unit: 2.89



no.,VASP energy (eV/f.u.)
1,-36.1
2,-12.6
3,-23.0
4,-5.1
5,-32.6
6,-13.7
7,-11.1
8,-20.4
9,-56.3
10,-25.3
11,-27.5
12,-20.1